[1]
This record from Alexandria via LeMat-Bulk describes crystalline NaCu2Ge3 at its relaxed geometry. The functional is GGA-PBE.

Unit cell a=4.004 b=7.460 c=7.889 alpha=90.00 beta=90.00 gamma=105.57
Positions (direct):
Ge  0.392  0.783  0.492
Ge  0.608  0.217  0.508
Ge  0.392  0.783  0.008
Ge  0.130  0.259  0.750
Ge  0.870  0.741  0.250
Ge  0.608  0.217  0.992
Na  0.199  0.399  0.250
Na  0.801  0.601  0.750
Cu  0.511  0.021  0.250
Cu  0.000  0.000  0.500
Cu  0.000  0.000  0.000
Cu  0.489  0.979  0.750

Values from the calculation:
ΔE_f (eV per atom): 0.03

=====

[2]
This record from Alexandria via LeMat-Bulk describes crystalline NaCu3Ge2 at its relaxed geometry. The functional is GGA-PBE.

Unit cell a=4.075 b=8.034 c=7.291 alpha=114.37 beta=90.00 gamma=104.69
Positions (direct):
Cu  0.980  0.959  0.646
Cu  0.588  0.175  0.648
Cu  0.688  0.377  0.451
Cu  0.020  0.041  0.354
Cu  0.312  0.623  0.549
Cu  0.412  0.825  0.352
Na  0.155  0.310  0.076
Na  0.845  0.690  0.924
Ge  0.479  0.959  0.817
Ge  0.819  0.637  0.347
Ge  0.521  0.041  0.183
Ge  0.181  0.363  0.653

Values from the calculation:
ΔE_f (eV per atom): -0.01
Energy above the most stable polymorph in this dataset (eV per atom): 0.000